Sc2ZnAu | SCAN | single point on PBEsol structure Values from VASP.

Structure (Quantum ESPRESSO input):
```
&SYSTEM
  ibrav = 0, nat = 4, ntyp = 3
/
ATOMIC_SPECIES
Zn 65.41 Zn.upf
Au 196.97 Au.upf
Sc 44.96 Sc.upf
CELL_PARAMETERS angstrom
4.618 0.000 0.000
2.309 4.000 0.000
2.309 1.333 3.771
ATOMIC_POSITIONS angstrom
Zn 2.309 1.333 0.943
Au 4.618 2.666 1.885
Sc 0.000 0.000 0.000
Sc 6.927 4.000 2.828
```

Results
ΔH_f (0 K) (meV/atom): -495
DOS(E_F) (states/eV per cell): 4.4
DFT total energy (eV/cell): -113.13
Calculated density (kg/m3): 8399

=====

BeZnOs2 | SCAN | single point on PBEsol structure Values from VASP.

Structure (Quantum ESPRESSO input):
```
&SYSTEM
  ibrav = 0, nat = 4, ntyp = 3
/
ATOMIC_SPECIES
Os 190.23 Os.upf
Zn 65.41 Zn.upf
Be 9.01 Be.upf
CELL_PARAMETERS angstrom
-1.664 -0.093 2.119
-1.123 -3.582 -1.039
4.323 -1.819 1.599
ATOMIC_POSITIONS angstrom
Os 2.720 -1.883 3.551
Os -0.445 -2.282 1.048
Zn 1.904 -0.955 1.233
Be 2.177 -3.196 1.364
```

Results
ΔH_f (0 K) (meV/atom): 103
DOS(E_F) (states/eV per cell): 2.0
DFT total energy (eV/cell): -161.22
Calculated density (kg/m3): 15085